Entry 1:
Here is a relaxed Sr2ScPt crystal from Alexandria. Energies are from PBE-GGA.

E_form   -0.457 eV/atom
Energy relative to the lowest polymorph listed for this composition   0 meV/atom
Total energy   -17.6 eV/cell
Space-group type   P4mm

Lattice parameters (Å, degrees): 3.656 3.656 9.484 90.00 90.00 90.00
Fractional positions:
Sr (0.000, 0.000, 0.000)
Sr (0.500, 0.500, 0.374)
Sc (0.500, 0.500, 0.713)
Pt (0.000, 0.000, 0.606)

Entry 2:
Here is a relaxed AcPrGdY crystal from Alexandria. Energies are from PBE-GGA.

E_form   0.098 eV/atom
Total energy   -29.0 eV/cell
Space-group type   F-43m

Lattice parameters (Å, degrees): 5.907 5.907 5.907 60.00 60.00 60.00
Fractional positions:
Ac (0.000, 0.000, 0.000)
Pr (0.500, 0.500, 0.500)
Gd (0.750, 0.750, 0.750)
Y (0.250, 0.250, 0.250)

Question: E_form of number 1 (Sr2ScPt)?
Answer: -0.457 eV/atom

Repeat the second record exactly.
Here is a relaxed AcPrGdY crystal from Alexandria. Energies are from PBE-GGA.

E_form   0.098 eV/atom
Total energy   -29.0 eV/cell
Space-group type   F-43m

Lattice parameters (Å, degrees): 5.907 5.907 5.907 60.00 60.00 60.00
Fractional positions:
Ac (0.000, 0.000, 0.000)
Pr (0.500, 0.500, 0.500)
Gd (0.750, 0.750, 0.750)
Y (0.250, 0.250, 0.250)

Question: What is the total energy in the second record?
Answer: -29.0 eV/cell